The following is a DFT calculation (GGA-PBE) of a relaxed InSi2As crystal.

Calculated values
- Size of the total moment: 0.000 μB per atom
- Distance to the lowest polymorph of the same formula: 13 kJ/mol of formula units
- Energy relative to the elements, uncorrected: 207 meV/atom
- N(E_F): 0.4338 states/eV per atom
- V: 20.03 Å³ per atom

Unit cell a=6.417 b=3.746 c=7.021 alpha=90.00 beta=108.26 gamma=90.00
Space group Cm (No. 8)
One atom of each set of equivalent atoms:
In  0.000  0.000  0.000 [2 per cell]
Si  0.007  0.500  0.522 [2 per cell]
Si  0.237  0.000  0.713 [2 per cell]
As  0.268  0.500  0.304 [2 per cell]